Record 1
# ZrSi4Os, optimized geometry, DFT PBE
data_ZrSi4Os
_space_group_name_H-M_alt 'F -4 3 m'
_space_group_IT_number 216
_space_group_name_Hall 'F -4 2 3'
_cell_length_a 7.025
_cell_length_b 7.025
_cell_length_c 7.025
_cell_angle_alpha 90.00
_cell_angle_beta 90.00
_cell_angle_gamma 90.00
loop_
_atom_site_label
_atom_site_fract_x
_atom_site_fract_y
_atom_site_fract_z
_atom_site_occupancy
Zr1 0.000 0.000 0.000 1
Si1 0.125 0.125 0.375 1
Os1 0.250 0.250 0.750 1
# **Energy relative to the elements, uncorrected**: 1.293 eV per formula unit
# **D(E_F)**: 17.88 states/eV per cell


Record 2
# Zr2PSe, optimized geometry, DFT PBE
data_Zr2PSe
_space_group_name_H-M_alt 'I m m 2'
_space_group_IT_number 44
_cell_length_a 3.544
_cell_length_b 3.551
_cell_length_c 12.529
_cell_angle_alpha 90.00
_cell_angle_beta 90.00
_cell_angle_gamma 90.00
loop_
_space_group_symop_operation_xyz
'x,y,z'
'-x,-y,z'
'-x,y,z'
'x,-y,z'
'x+1/2,y+1/2,z+1/2'
'-x+1/2,-y+1/2,z+1/2'
'-x+1/2,y+1/2,z+1/2'
'x+1/2,-y+1/2,z+1/2'
loop_
_atom_site_label
_atom_site_fract_x
_atom_site_fract_y
_atom_site_fract_z
_atom_site_occupancy
Zr1 0.000 0.000 0.000 1
Zr2 0.000 0.500 0.265 1
P1 0.000 0.500 0.844 1
Se1 0.000 0.000 0.593 1
# **Energy relative to the elements, uncorrected**: -5.135 eV per formula unit
# **D(E_F)**: 7.95 states/eV per cell


What is the D(E_F) in the second record? 7.95 states/eV per cell


Which of these has the highest D(E_F)? ZrSi4Os


Which value of energy relative to the elements, uncorrected does entry 1 give? 1.293 eV per formula unit